Entry 1:
Material: Ca3Ac
Method: DFT, GGA-PBEsol
State: optimized geometry

a = 6.1176 Å, b = 6.1176 Å, c = 6.1176 Å
α = 60.00°, β = 60.00°, γ = 60.00°
Closest atoms and distances in Å follow each position.
Atoms (fractional coordinates):
Ca 0.7500 0.7500 0.7500  4 Ca 3.75, 4 Ac 3.75
Ca 0.5000 0.5000 0.5000  8 Ca 3.75
Ac 0.0000 0.0000 0.0000  8 Ca 3.75
Ca 0.2500 0.2500 0.2500  4 Ca 3.75, 4 Ac 3.75

## Properties
energy relative to the elements	0.06	eV per atom
spin magnetization	0.00	Bohr magnetons per cell
space group	Fm-3m, No. 225

***

Entry 2:
Material: NiSbW2
Method: DFT, GGA-PBEsol
State: optimized geometry

a = 3.7837 Å, b = 3.7837 Å, c = 4.3287 Å
α = 90.00°, β = 90.00°, γ = 90.00°
Closest atoms and distances in Å follow each position.
Atoms (fractional coordinates):
W 0.0000 0.5000 0.0000  4 W 2.68, 4 Sb 2.87, 4 Ni 2.87
Sb 0.0000 0.0000 0.5000  4 Ni 2.68, 8 W 2.87
W 0.5000 0.0000 0.0000  4 W 2.68, 4 Sb 2.87, 4 Ni 2.87
Ni 0.5000 0.5000 0.5000  4 Sb 2.68, 8 W 2.87

## Properties
E_form (uncorrected)	428	meV per atom
spin magnetization	0.00	Bohr magnetons per cell
space group	P4/mmm, No. 123

***

Entry 3:
Material: TeAs3H
Method: DFT, GGA-PBEsol
State: optimized geometry

a = 5.3059 Å, b = 5.3059 Å, c = 5.3059 Å
α = 90.00°, β = 90.00°, γ = 90.00°
Closest atoms and distances in Å follow each position.
Atoms (fractional coordinates):
H 0.5000 0.5000 0.5000  12 As 3.75
As 0.0000 0.5000 0.0000  2 Te 2.65
As 0.0000 0.0000 0.5000  2 Te 2.65
As 0.5000 0.0000 0.0000  2 Te 2.65
Te 0.0000 0.0000 0.0000  6 As 2.65

## Properties
spin magnetization	0.26	Bohr magnetons per cell
space group	Pm-3m, No. 221
final energy	-14.36	eV/cell

***

Entry 4:
Material: CuB2ClF
Method: DFT, GGA-PBEsol
State: optimized geometry

a = 3.7151 Å, b = 3.7151 Å, c = 4.5995 Å
α = 90.00°, β = 90.00°, γ = 90.00°
Closest atoms and distances in Å follow each position.
Atoms (fractional coordinates):
B 0.5000 0.0000 0.0000  2 Cl 1.86
B 0.0000 0.5000 0.0000  2 Cl 1.86
Cl 0.0000 0.0000 0.0000  4 B 1.86
F 0.0000 0.0000 0.5000  2 Cl 2.30
Cu 0.5000 0.5000 0.5000  4 F 2.63

## Properties
E_form (uncorrected)	1566	meV per atom
spin magnetization	0.00	Bohr magnetons per cell
space group	P4/mmm, No. 123

***

Entry 5:
Material: AlBi3Br
Method: DFT, GGA-PBEsol
State: optimized geometry

a = 5.4131 Å, b = 5.4131 Å, c = 5.4131 Å
α = 90.00°, β = 90.00°, γ = 90.00°
Closest atoms and distances in Å follow each position.
Atoms (fractional coordinates):
Bi 0.5000 0.0000 0.0000  2 Al 2.71
Br 0.5000 0.5000 0.5000  12 Bi 3.83
Bi 0.0000 0.5000 0.0000  2 Al 2.71
Al 0.0000 0.0000 0.0000  6 Bi 2.71
Bi 0.0000 0.0000 0.5000  2 Al 2.71

## Properties
E_form (uncorrected)	396	meV per atom
spin magnetization	0.00	Bohr magnetons per cell
space group	Pm-3m, No. 221

***

Entry 6:
Material: KZn2Rh
Method: DFT, GGA-PBEsol
State: optimized geometry

a = 2.9014 Å, b = 2.9014 Å, c = 9.8434 Å
α = 81.52°, β = 81.52°, γ = 60.00°
Closest atoms and distances in Å follow each position.
Atoms (fractional coordinates):
Rh 0.0000 0.0000 0.0000  6 Zn 2.58
Zn 0.2660 0.2660 0.2020  3 Rh 2.58
Zn 0.7340 0.7340 0.7980  3 Rh 2.58
K 0.5000 0.5000 0.5000  6 K 2.90

## Properties
energy relative to the elements	0.27	eV per atom
spin magnetization	0.00	Bohr magnetons per cell
space group	R-3m, No. 166

***

Entry 7:
Material: TaSi2Os
Method: DFT, GGA-PBEsol
State: optimized geometry

a = 3.7853 Å, b = 3.7853 Å, c = 9.1886 Å
α = 101.89°, β = 101.89°, γ = 90.00°
Closest atoms and distances in Å follow each position.
Atoms (fractional coordinates):
Si 0.1250 0.0976 0.7500  4 Si 2.53-2.83, 2 Os 2.54, 2 Ta 2.61
Si 0.9024 0.3750 0.2500  4 Si 2.53-2.83, 2 Os 2.54, 2 Ta 2.61
Os 0.0000 0.0000 0.0000  4 Si 2.54, 4 Ta 2.68
Ta 0.5000 0.5000 0.0000  4 Si 2.61, 4 Os 2.68
Si 0.6250 0.6524 0.7500  4 Si 2.53-2.83, 2 Os 2.54, 2 Ta 2.61
Si 0.3476 0.8750 0.2500  4 Si 2.53-2.83, 2 Os 2.54, 2 Ta 2.61
Os 0.2500 0.7500 0.5000  4 Si 2.54, 4 Ta 2.68
Ta 0.7500 0.2500 0.5000  4 Si 2.61, 4 Os 2.68

## Properties
E_form (uncorrected)	140	meV per atom
spin magnetization	0.00	Bohr magnetons per cell
space group	I-42d, No. 122

***

Entry 8:
Material: Ba2SrSe
Method: DFT, GGA-PBEsol
State: optimized geometry

a = 4.4272 Å, b = 4.4275 Å, c = 11.6630 Å
α = 100.93°, β = 90.00°, γ = 120.00°
Closest atoms and distances in Å follow each position.
Atoms (fractional coordinates):
Ba 0.2763 0.5525 0.3288  3 Se 3.21
Se 0.0000 0.0000 0.5000  6 Ba 3.21
Sr 0.5000 0.0000 0.0000  6 Sr 4.43, 6 Ba 4.53
Ba 0.7237 0.4475 0.6712  3 Se 3.21

## Properties
E_form (uncorrected)	-919	meV per atom
spin magnetization	0.00	Bohr magnetons per cell
space group	R-3m, No. 166

***

Entry 9:
Material: AlCu3Ni
Method: DFT, GGA-PBEsol
State: optimized geometry

a = 4.2767 Å, b = 4.2767 Å, c = 4.2767 Å
α = 90.00°, β = 90.00°, γ = 90.00°
Closest atoms and distances in Å follow each position.
Atoms (fractional coordinates):
Ni 0.5000 0.5000 0.5000  12 Cu 3.02
Al 0.0000 0.0000 0.0000  6 Cu 2.14
Cu 0.5000 0.0000 0.0000  2 Al 2.14
Cu 0.0000 0.0000 0.5000  2 Al 2.14
Cu 0.0000 0.5000 0.0000  2 Al 2.14

## Properties
energy relative to the elements	1.09	eV per atom
spin magnetization	0.00	Bohr magnetons per cell
space group	Pm-3m, No. 221

***

Entry 10:
Material: LaScIr2
Method: DFT, GGA-PBEsol
State: optimized geometry

a = 2.9828 Å, b = 5.0005 Å, c = 5.4175 Å
α = 99.78°, β = 105.98°, γ = 90.00°
Closest atoms and distances in Å follow each position.
Atoms (fractional coordinates):
Ir 0.9703 0.0416 0.9406  4 Ir 2.75-2.98, 3 Sc 2.76-3.02, 4 La 2.95-2.98
La 0.5241 0.5572 0.0481  7 Ir 2.80-3.04, 2 La 2.98, 1 Sc 3.06
Sc 0.7252 0.1797 0.4504  7 Ir 2.76-3.06, 2 Sc 2.98, 1 La 3.06
Ir 0.2804 0.7215 0.5609  4 Ir 2.75-2.98, 3 La 2.80-3.04, 4 Sc 2.88-3.06

## Properties
energy relative to the elements	-0.45	eV per atom
spin magnetization	0.00	Bohr magnetons per cell
space group	Cm, No. 8

***

Entry 11:
Material: Nb2InCoS
Method: DFT, GGA-PBEsol
State: optimized geometry

a = 4.4794 Å, b = 4.4794 Å, c = 4.8964 Å
α = 90.00°, β = 90.00°, γ = 90.00°
Closest atoms and distances in Å follow each position.
Atoms (fractional coordinates):
In 0.0000 0.0000 0.5000  2 S 2.45
S 0.0000 0.0000 0.0000  4 Nb 2.24, 2 In 2.45
Co 0.5000 0.5000 0.5000  4 In 3.17, 8 Nb 3.32
Nb 0.5000 0.0000 0.0000  2 S 2.24
Nb 0.0000 0.5000 0.0000  2 S 2.24

## Properties
E_form (uncorrected)	755	meV per atom
spin magnetization	1.58	Bohr magnetons per cell
space group	P4/mmm, No. 123

***

Entry 12:
Material: TmTiO3
Method: DFT, GGA-PBEsol
State: optimized geometry

a = 5.2100 Å, b = 5.6203 Å, c = 7.5201 Å
α = 90.00°, β = 90.00°, γ = 90.00°
Closest atoms and distances in Å follow each position.
Atoms (fractional coordinates):
O 0.3137 0.1952 0.9386  2 Ti 2.02, 1 Tm 2.24
O 0.3137 0.1952 0.5614  2 Ti 2.02, 1 Tm 2.24
O 0.1863 0.6952 0.9386  2 Ti 2.02, 1 Tm 2.24
Ti 0.0000 0.0000 0.5000  6 O 2.02
Tm 0.4752 0.9242 0.7500  4 O 2.17-2.25
O 0.8690 0.0518 0.7500  2 Ti 2.02, 2 Tm 2.17-2.25
O 0.6863 0.8048 0.4386  2 Ti 2.02, 1 Tm 2.24
Ti 0.5000 0.5000 0.5000  6 O 2.02
Tm 0.5248 0.0758 0.2500  4 O 2.17-2.25
O 0.1863 0.6952 0.5614  2 Ti 2.02, 1 Tm 2.24
O 0.6863 0.8048 0.0614  2 Ti 2.02, 1 Tm 2.24
O 0.6310 0.5518 0.7500  2 Ti 2.02, 2 Tm 2.17-2.25
O 0.1310 0.9482 0.2500  2 Ti 2.02, 2 Tm 2.17-2.25
Tm 0.0248 0.4242 0.7500  4 O 2.17-2.25
Ti 0.0000 0.0000 0.0000  6 O 2.02
O 0.8137 0.3048 0.4386  2 Ti 2.02, 1 Tm 2.24
O 0.3690 0.4482 0.2500  2 Ti 2.02, 2 Tm 2.17-2.25
Tm 0.9752 0.5758 0.2500  4 O 2.17-2.25
O 0.8137 0.3048 0.0614  2 Ti 2.02, 1 Tm 2.24
Ti 0.5000 0.5000 0.0000  6 O 2.02

## Properties
E_form (uncorrected)	-3304	meV per atom
spin magnetization	4.04	Bohr magnetons per cell
space group	Pnma, No. 62

***

Which of these has the highest spin magnetization?
TmTiO3

***

Which value of spin magnetization does entry 1 give?
0.00 Bohr magnetons per cell